TcRh2Br | PBE | optimized geometry

Values from the calculation:
The value obtained for the relative energy among the computed polymorphs is 0.000 eV per atom. The uncorrected energy is -6.347 eV/atom.

Cell lengths 2.861, 2.861, 7.873 Å; angles 90.00, 90.00, 90.00 degrees
Space group P4/mmm (No. 123)
Asymmetric unit:
Tc 0.000 0.000 0.000
Rh 0.500 0.500 0.224
Br 0.000 0.000 0.500

ScGaAu3 | PBE | optimized geometry

Values from the calculation:
The value obtained for the relative energy among the computed polymorphs is 0.000 eV per atom. The uncorrected energy is -4.291 eV/atom. The value obtained for the formation energy from the elements is -0.453 eV per atom.

Cell lengths 4.899, 6.916, 5.956 Å; angles 90.00, 105.15, 90.00 degrees
Space group P2_1/m (No. 11)
Asymmetric unit:
Sc 0.172 0.250 0.250
Ga 0.017 0.750 0.264
Au 0.296 0.535 0.627
Au 0.412 0.750 0.050

PaCdSb2N | PBE | optimized geometry

Values from the calculation:
The uncorrected energy is -6.068 eV/atom.

Cell lengths 3.914, 3.914, 16.416 Å; angles 90.00, 90.00, 90.00 degrees
Space group P4/nmm (No. 129, origin choice 2)
Asymmetric unit:
Pa 0.250 0.250 0.072
Cd 0.250 0.250 0.648
Sb 0.250 0.250 0.442
Sb 0.250 0.250 0.819
N 0.250 0.750 0.000

Zr5Cr | PBE | optimized geometry

Values from the calculation:
The uncorrected energy is -8.629 eV/atom. The value obtained for the formation energy from the elements is 0.098 eV per atom.

Cell lengths 10.929, 3.357, 7.338 Å; angles 90.00, 109.07, 90.00 degrees
Space group Cm (No. 8)
Asymmetric unit:
Zr 0.000 0.000 0.000
Zr 0.027 0.000 0.439
Zr 0.189 0.500 0.820
Zr 0.222 0.500 0.274
Zr 0.369 0.000 0.642
Cr 0.345 0.000 0.109

Rb6HgI8 | PBE | optimized geometry

Values from the calculation:
The uncorrected energy is -2.441 eV/atom.

Cell lengths 10.8515, 10.8515, 21.5447 Å; angles 90.00, 90.00, 120.00 degrees
Space group R-3 (No. 148, hexagonal axes)
Asymmetric unit:
Rb 0.0207 0.3997 0.4216
Hg 0.0000 0.0000 0.5000
I 0.0000 0.0000 0.1556
I 0.0117 0.2408 0.5836

Ga2TcH6 | PBE | optimized geometry

Values from the calculation:
The value obtained for the relative energy among the computed polymorphs is 0.000 eV per atom. The uncorrected energy is -3.976 eV/atom.

Cell lengths 7.851, 4.534, 5.252 Å; angles 90.00, 120.05, 90.00 degrees
Space group C2/m (No. 12)
Asymmetric unit:
Ga 0.126 0.000 0.379
Tc 0.000 0.500 0.500
H 0.034 0.291 0.811
H 0.244 0.500 0.810

Mg4CrAs | PBE | optimized geometry

Values from the calculation:
The uncorrected energy is -3.074 eV/atom. The value obtained for the formation energy from the elements is 0.368 eV per atom.

Cell lengths 8.028, 8.028, 8.028 Å; angles 90.00, 90.00, 90.00 degrees
Space group F-43m (No. 216)
Asymmetric unit:
Mg 0.125 0.125 0.125
Cr 0.000 0.000 0.500
As 0.250 0.250 0.750

FeCl3 | PBE | optimized geometry

Values from the calculation:
The uncorrected energy is -4.125 eV/atom.

Cell lengths 9.9031, 9.9031, 3.1788 Å; angles 90.00, 90.00, 120.00 degrees
Space group P6_3/mmc (No. 194)
Asymmetric unit:
Fe 0.3333 0.6667 0.2500
Cl 0.2269 0.4537 0.7500

GeW2C | PBE | optimized geometry

Values from the calculation:
The value obtained for the relative energy among the computed polymorphs is 0.865 eV per atom. The uncorrected energy is -8.882 eV/atom. The value obtained for the formation energy from the elements is 1.055 eV per atom.

Cell lengths 5.944, 5.944, 5.944 Å; angles 90.00, 90.00, 90.00 degrees
Space group Fm-3m (No. 225)
Asymmetric unit:
Ge 0.000 0.000 0.000
W 0.250 0.250 0.250
C 0.000 0.000 0.500

K3Ir | PBE | optimized geometry

Values from the calculation:
The value obtained for the relative energy among the computed polymorphs is 0.065 eV per atom. The uncorrected energy is -2.303 eV/atom. The value obtained for the formation energy from the elements is 0.736 eV per atom.

Cell lengths 7.534, 13.331, 5.502 Å; angles 90.00, 90.00, 90.00 degrees
Space group Cmcm (No. 63)
Asymmetric unit:
K 0.000 0.191 0.250
K 0.221 0.409 0.250
Ir 0.000 0.337 0.750

Tm3Cd2Cu2 | PBE | optimized geometry

Values from the calculation:
The uncorrected energy is -3.652 eV/atom. The value obtained for the formation energy from the elements is -0.304 eV per atom.

Cell lengths 3.878, 21.775, 3.676 Å; angles 90.00, 90.00, 90.00 degrees
Space group Cmmm (No. 65)
Asymmetric unit:
Tm 0.000 0.000 0.000
Tm 0.000 0.171 0.000
Cd 0.000 0.416 0.500
Cu 0.000 0.283 0.500

MgHg3Cl | PBE | optimized geometry

Values from the calculation:
The value obtained for the relative energy among the computed polymorphs is 0.403 eV per atom. The uncorrected energy is -0.601 eV/atom.

Cell lengths 5.888, 5.888, 5.888 Å; angles 90.00, 90.00, 90.00 degrees
Space group Pm-3m (No. 221)
Asymmetric unit:
Mg 0.000 0.000 0.000
Hg 0.000 0.500 0.500
Cl 0.500 0.500 0.500

SnSbCl2 | PBE | optimized geometry

Values from the calculation:
The value obtained for the relative energy among the computed polymorphs is 0.228 eV per atom. The uncorrected energy is -3.140 eV/atom.

Cell lengths 8.155, 8.155, 6.607 Å; angles 90.00, 90.00, 90.00 degrees
Space group I-42d (No. 122)
Asymmetric unit:
Sn 0.000 0.000 0.000
Sb 0.000 0.000 0.500
Cl 0.249 0.250 0.125

Hf2AlCu3 | PBE | optimized geometry

Values from the calculation:
The uncorrected energy is -6.235 eV/atom. The value obtained for the formation energy from the elements is -0.246 eV per atom.

Cell lengths 5.1616, 5.1616, 8.1050 Å; angles 90.00, 90.00, 120.00 degrees
Space group P6_3/mmc (No. 194)
Asymmetric unit:
Hf 0.3333 0.6667 0.0456
Al 0.0000 0.0000 0.0000
Cu 0.1710 0.3421 0.7500

BaTlH2F8 | PBE | optimized geometry

Values from the calculation:
The uncorrected energy is -4.225 eV/atom.

Cell lengths 7.651, 4.990, 8.872 Å; angles 90.00, 91.53, 90.00 degrees
Space group C2/m (No. 12)
Asymmetric unit:
Ba 0.000 0.000 0.000
Tl 0.000 0.000 0.500
H 0.006 0.500 0.712
F 0.006 0.269 0.716
F 0.151 0.500 0.006
F 0.228 0.500 0.501

HfMgAg2 | PBE | optimized geometry

Values from the calculation:
The uncorrected energy is -4.108 eV/atom. The value obtained for the formation energy from the elements is 0.205 eV per atom.

Cell lengths 2.9898, 2.9898, 31.3657 Å; angles 90.00, 90.00, 120.00 degrees
Space group R-3m (No. 166, hexagonal axes)
Asymmetric unit:
Hf 0.0000 0.0000 0.0000
Mg 0.0000 0.0000 0.5000
Ag 0.0000 0.0000 0.0901

Sc2TePt2 | PBE | optimized geometry

Values from the calculation:
The value obtained for the relative energy among the computed polymorphs is 0.000 eV per atom. The uncorrected energy is -6.623 eV/atom.

Cell lengths 7.587, 7.587, 3.461 Å; angles 90.00, 90.00, 90.00 degrees
Space group P4/mbm (No. 127)
Asymmetric unit:
Sc 0.163 0.337 0.000
Te 0.000 0.000 0.500
Pt 0.130 0.630 0.500

SrAuBr3 | PBE | optimized geometry

Values from the calculation:
The value obtained for the relative energy among the computed polymorphs is 0.415 eV per atom. The uncorrected energy is -2.855 eV/atom.

Cell lengths 5.460, 5.460, 5.460 Å; angles 90.00, 90.00, 90.00 degrees
Space group Pm-3m (No. 221)
Asymmetric unit:
Sr 0.000 0.000 0.000
Au 0.500 0.500 0.500
Br 0.000 0.500 0.500

Rb2NaCd3Pb4 | PBE | optimized geometry

Values from the calculation:
The uncorrected energy is -2.159 eV/atom. The value obtained for the formation energy from the elements is -0.076 eV per atom.

Cell lengths 5.163, 5.163, 12.923 Å; angles 90.00, 90.00, 90.00 degrees
Space group P-4m2 (No. 115)
Asymmetric unit:
Rb 0.000 0.500 0.249
Na 0.000 0.000 0.500
Cd 0.000 0.500 0.863
Cd 0.500 0.500 0.500
Pb 0.000 0.000 0.000
Pb 0.000 0.500 0.633
Pb 0.500 0.500 0.000

UTaTl2O6 | PBE | optimized geometry

Values from the calculation:
The uncorrected energy is -8.108 eV/atom.

Cell lengths 8.440, 8.440, 8.440 Å; angles 90.00, 90.00, 90.00 degrees
Space group Fm-3m (No. 225)
Asymmetric unit:
U 0.000 0.000 0.000
Ta 0.000 0.000 0.500
Tl 0.250 0.250 0.250
O 0.000 0.000 0.260